# 1
# KSr2Al2 | Alexandria | GGA-PBE | relaxed
# Spin magnetization ... 0.0 μB/cell
# Calculated formation energy ... 0.12 eV per atom
# Calculated volume ... 41.38 A^3/atom
# Relative energy among the computed polymorphs ... 112 meV per atom
# Electronic total energy ... -2.266 eV/atom
data_KSr2Al2
_chemical_formula_sum 'K2 Sr4 Al4'
_space_group_name_H-M_alt 'I 4/m m m'
_space_group_IT_number 139
_space_group_name_Hall '-I 4 2'
_cell_length_a 3.993
_cell_length_b 3.993
_cell_length_c 25.960
_cell_angle_alpha 90.00
_cell_angle_beta 90.00
_cell_angle_gamma 90.00
loop_
_atom_site_label
_atom_site_fract_x
_atom_site_fract_y
_atom_site_fract_z
K1 0.000 0.000 0.000
Sr1 0.000 0.000 0.357
Al1 0.000 0.500 0.250

---

# 2
# K2SrAl | Alexandria | GGA-PBE | relaxed
# Spin magnetization ... 0.0 μB/cell
# Calculated formation energy ... 0.16 eV per atom
# Calculated volume ... 51.88 A^3/atom
# Electronic total energy ... -1.746 eV/atom
data_K2SrAl
_chemical_formula_sum 'K4 Sr2 Al2'
_space_group_name_H-M_alt 'I m m m'
_space_group_IT_number 71
_space_group_name_Hall '-I 2 2'
_cell_length_a 4.001
_cell_length_b 5.485
_cell_length_c 18.911
_cell_angle_alpha 90.00
_cell_angle_beta 90.00
_cell_angle_gamma 90.00
loop_
_atom_site_label
_atom_site_fract_x
_atom_site_fract_y
_atom_site_fract_z
K1 0.000 0.000 0.163
Sr1 0.000 0.500 0.000
Al1 0.000 0.500 0.500

---

# 3
# K2SrAl | Alexandria | GGA-PBE | relaxed
# Spin magnetization ... 0.0 μB/cell
# Calculated formation energy ... 0.26 eV per atom
# Calculated volume ... 43.18 A^3/atom
# Electronic total energy ... -1.645 eV/atom
data_K2SrAl
_chemical_formula_sum 'K2 Sr1 Al1'
_space_group_name_H-M_alt 'P m m m'
_space_group_IT_number 47
_cell_length_a 4.668
_cell_length_b 5.557
_cell_length_c 6.658
_cell_angle_alpha 90.00
_cell_angle_beta 90.00
_cell_angle_gamma 90.00
loop_
_space_group_symop_operation_xyz
'x,y,z'
'-x,-y,-z'
'-x,-y,z'
'x,y,-z'
'x,-y,-z'
'-x,y,z'
'-x,y,-z'
'x,-y,z'
loop_
_atom_site_label
_atom_site_fract_x
_atom_site_fract_y
_atom_site_fract_z
K1 0.000 0.000 0.000
K2 0.500 0.500 0.000
Sr1 0.000 0.500 0.500
Al1 0.500 0.000 0.500

---

# 4
# K2SrAl | Alexandria | GGA-PBE | relaxed
# Spin magnetization ... 0.0 μB/cell
# Calculated formation energy ... 0.22 eV per atom
# Calculated volume ... 51.74 A^3/atom
# Electronic total energy ... -1.683 eV/atom
data_K2SrAl
_chemical_formula_sum 'K6 Sr3 Al3'
_space_group_name_H-M_alt 'R 3 m'
_space_group_IT_number 160
_space_group_name_Hall 'R 3 -2"'
_cell_length_a 4.3205
_cell_length_b 4.3205
_cell_length_c 38.4056
_cell_angle_alpha 90.00
_cell_angle_beta 90.00
_cell_angle_gamma 120.00
loop_
_atom_site_label
_atom_site_fract_x
_atom_site_fract_y
_atom_site_fract_z
K1 0.0000 0.0000 0.0000
K2 0.0000 0.0000 0.2257
Sr1 0.0000 0.0000 0.7681
Al1 0.0000 0.0000 0.4925

---

# 5
# KSr2Al | Alexandria | GGA-PBE | relaxed
# Spin magnetization ... 0.0 μB/cell
# Calculated formation energy ... 0.41 eV per atom
# Calculated volume ... 45.26 A^3/atom
# Electronic total energy ... -1.644 eV/atom
data_KSr2Al
_chemical_formula_sum 'K4 Sr8 Al4'
_space_group_name_H-M_alt 'I -4 2 d'
_space_group_IT_number 122
_space_group_name_Hall 'I -4 2bw'
_cell_length_a 5.436
_cell_length_b 5.436
_cell_length_c 24.511
_cell_angle_alpha 90.00
_cell_angle_beta 90.00
_cell_angle_gamma 90.00
loop_
_atom_site_label
_atom_site_fract_x
_atom_site_fract_y
_atom_site_fract_z
K1 0.000 0.000 0.000
Sr1 0.224 0.250 0.625
Al1 0.000 0.000 0.500

---

# 6
# K2SrAl | Alexandria | GGA-PBE | relaxed
# Spin magnetization ... 4.3 μB/cell
# Calculated formation energy ... 0.24 eV per atom
# Calculated volume ... 41.45 A^3/atom
# Electronic total energy ... -1.665 eV/atom
data_K2SrAl
_chemical_formula_sum 'K8 Sr4 Al4'
_space_group_name_H-M_alt 'F 2 2 2'
_space_group_IT_number 22
_space_group_name_Hall 'F 2 2'
_cell_length_a 8.700
_cell_length_b 8.723
_cell_length_c 8.738
_cell_angle_alpha 90.00
_cell_angle_beta 90.00
_cell_angle_gamma 90.00
loop_
_atom_site_label
_atom_site_fract_x
_atom_site_fract_y
_atom_site_fract_z
K1 0.000 0.000 0.000
K2 0.250 0.250 0.250
Sr1 0.000 0.000 0.500
Al1 0.250 0.250 0.750

---

# 7
# KSr2Al | Alexandria | GGA-PBE | relaxed
# Spin magnetization ... 0.0 μB/cell
# Calculated formation energy ... 0.14 eV per atom
# Calculated volume ... 46.17 A^3/atom
# Electronic total energy ... -1.912 eV/atom
data_KSr2Al
_chemical_formula_sum 'K1 Sr2 Al1'
_space_group_name_H-M_alt 'P 4 m m'
_space_group_IT_number 99
_cell_length_a 4.204
_cell_length_b 4.204
_cell_length_c 10.450
_cell_angle_alpha 90.00
_cell_angle_beta 90.00
_cell_angle_gamma 90.00
loop_
_space_group_symop_operation_xyz
'x,y,z'
'-y,x,z'
'-x,-y,z'
'y,-x,z'
'-x,y,z'
'y,x,z'
'x,-y,z'
'-y,-x,z'
loop_
_atom_site_label
_atom_site_fract_x
_atom_site_fract_y
_atom_site_fract_z
K1 0.000 0.000 0.000
Sr1 0.000 0.000 0.628
Sr2 0.500 0.500 0.344
Al1 0.500 0.500 0.772

---

# 8
# KSr2Al | Alexandria | GGA-PBE | relaxed
# Spin magnetization ... 0.0 μB/cell
# Calculated formation energy ... 0.10 eV per atom
# Calculated volume ... 49.01 A^3/atom
# Electronic total energy ... -1.955 eV/atom
data_KSr2Al
_chemical_formula_sum 'K2 Sr4 Al2'
_space_group_name_H-M_alt 'C 1 2/m 1'
_space_group_IT_number 12
_cell_length_a 7.464
_cell_length_b 4.279
_cell_length_c 12.483
_cell_angle_alpha 90.00
_cell_angle_beta 100.42
_cell_angle_gamma 90.00
loop_
_space_group_symop_operation_xyz
'x,y,z'
'-x,-y,-z'
'-x,y,-z'
'x,-y,z'
'x+1/2,y+1/2,z'
'-x+1/2,-y+1/2,-z'
'-x+1/2,y+1/2,-z'
'x+1/2,-y+1/2,z'
loop_
_atom_site_label
_atom_site_fract_x
_atom_site_fract_y
_atom_site_fract_z
K1 0.000 0.000 0.000
Sr1 0.222 0.000 0.679
Al1 0.000 0.500 0.500